Entry 1:
VASP calculation (PBE) on a relaxed GdMg4SiPt2 crystal.

Structure (CIF):
```
data_GdMg4SiPt2
_chemical_formula_sum 'Gd1 Mg4 Si1 Pt2'
_symmetry_space_group_name_H-M 'P 1'
_symmetry_Int_Tables_number 1
_symmetry_space_group_name_Hall 'P 1'
_cell_length_a 7.906
_cell_length_b 5.225
_cell_length_c 5.225
_cell_angle_alpha 49.73
_cell_angle_beta 90.00
_cell_angle_gamma 90.00
loop_
_atom_site_label
_atom_site_fract_x
_atom_site_fract_y
_atom_site_fract_z
_atom_site_occupancy
Gd1 0.000 0.943 0.943 1
Mg1 0.316 0.341 0.341 1
Mg2 0.684 0.341 0.341 1
Mg3 0.208 0.645 0.645 1
Mg4 0.792 0.645 0.645 1
Pt1 0.000 0.242 0.242 1
Pt2 0.500 0.794 0.794 1
Si1 0.500 0.049 0.049 1
```

## Properties
calculated volume	164.7	Å³/f.u.
VASP energy	-0.148	Ha/atom
SG	Amm2

---

Entry 2:
VASP calculation (PBE) on a relaxed GdMgSi2Pt4 crystal.

Structure (CIF):
```
data_GdMgSi2Pt4
_chemical_formula_sum 'Gd1 Mg1 Si2 Pt4'
_symmetry_space_group_name_H-M 'P 1'
_symmetry_Int_Tables_number 1
_symmetry_space_group_name_Hall 'P 1'
_cell_length_a 7.069
_cell_length_b 5.427
_cell_length_c 5.427
_cell_angle_alpha 40.46
_cell_angle_beta 90.00
_cell_angle_gamma 90.00
loop_
_atom_site_label
_atom_site_fract_x
_atom_site_fract_y
_atom_site_fract_z
_atom_site_occupancy
Gd1 0.000 0.450 0.450 1
Mg1 0.500 0.543 0.543 1
Pt1 0.205 0.144 0.144 1
Pt2 0.795 0.144 0.144 1
Pt3 0.303 0.860 0.860 1
Pt4 0.697 0.860 0.860 1
Si1 0.500 0.268 0.268 1
Si2 0.000 0.732 0.732 1
```

## Properties
calculated volume	135.1	Å³/f.u.
VASP energy	-0.224	Ha/atom
SG	Amm2

---

Entry 3:
VASP calculation (PBE) on a relaxed SrGdMg4Pt2 crystal.

Structure (CIF):
```
data_SrGdMg4Pt2
_chemical_formula_sum 'Sr1 Gd1 Mg4 Pt2'
_symmetry_space_group_name_H-M 'P 1'
_symmetry_Int_Tables_number 1
_symmetry_space_group_name_Hall 'P 1'
_cell_length_a 8.302
_cell_length_b 5.687
_cell_length_c 5.687
_cell_angle_alpha 43.75
_cell_angle_beta 90.00
_cell_angle_gamma 90.00
loop_
_atom_site_label
_atom_site_fract_x
_atom_site_fract_y
_atom_site_fract_z
_atom_site_occupancy
Gd1 0.500 0.063 0.063 1
Mg1 0.310 0.345 0.345 1
Mg2 0.690 0.345 0.345 1
Mg3 0.197 0.656 0.656 1
Mg4 0.803 0.656 0.656 1
Pt1 0.000 0.226 0.226 1
Pt2 0.500 0.767 0.767 1
Sr1 0.000 0.941 0.941 1
```

## Properties
calculated volume	185.7	Å³/f.u.
VASP energy	-0.137	Ha/atom
SG	Amm2

---

Entry 4:
VASP calculation (PBE) on a relaxed TbGd2Mg3Pt3 crystal.

Structure (CIF):
```
data_TbGd2Mg3Pt3
_chemical_formula_sum 'Tb1 Gd2 Mg3 Pt3'
_symmetry_space_group_name_H-M 'P 1'
_symmetry_Int_Tables_number 1
_symmetry_space_group_name_Hall 'P 1'
_cell_length_a 4.082
_cell_length_b 7.393
_cell_length_c 7.393
_cell_angle_alpha 119.99
_cell_angle_beta 90.00
_cell_angle_gamma 90.00
loop_
_atom_site_label
_atom_site_fract_x
_atom_site_fract_y
_atom_site_fract_z
_atom_site_occupancy
Gd1 0.000 0.411 0.000 1
Gd2 0.000 0.000 0.411 1
Mg1 0.500 0.245 0.245 1
Mg2 0.500 0.000 0.756 1
Mg3 0.500 0.756 0.000 1
Pt1 0.500 0.666 0.334 1
Pt2 0.500 0.334 0.666 1
Pt3 0.000 0.999 0.999 1
Tb1 0.000 0.590 0.590 1
```

## Properties
calculated volume	193.3	Å³/f.u.
VASP energy	-0.185	Ha/atom
SG	Amm2

---

Entry 5:
VASP calculation (PBE) on a relaxed Gd2TmMg3Pt3 crystal.

Structure (CIF):
```
data_Gd2TmMg3Pt3
_chemical_formula_sum 'Gd2 Tm1 Mg3 Pt3'
_symmetry_space_group_name_H-M 'P 1'
_symmetry_Int_Tables_number 1
_symmetry_space_group_name_Hall 'P 1'
_cell_length_a 4.072
_cell_length_b 7.358
_cell_length_c 7.358
_cell_angle_alpha 119.86
_cell_angle_beta 90.00
_cell_angle_gamma 90.00
loop_
_atom_site_label
_atom_site_fract_x
_atom_site_fract_y
_atom_site_fract_z
_atom_site_occupancy
Gd1 0.000 0.999 0.411 1
Gd2 0.000 0.411 0.999 1
Mg1 0.500 0.246 0.246 1
Mg2 0.500 0.999 0.755 1
Mg3 0.500 0.755 0.999 1
Pt1 0.500 0.665 0.338 1
Pt2 0.500 0.338 0.665 1
Pt3 0.000 0.996 0.996 1
Tm1 0.000 0.592 0.592 1
```

## Properties
calculated volume	191.2	Å³/f.u.
VASP energy	-0.185	Ha/atom
SG	Amm2

---

Entry 6:
VASP calculation (PBE) on a relaxed GdPuMg crystal.

Structure (CIF):
```
data_GdPuMg
_chemical_formula_sum 'Gd1 Pu1 Mg1'
_symmetry_space_group_name_H-M 'P 1'
_symmetry_Int_Tables_number 1
_symmetry_space_group_name_Hall 'P 1'
_cell_length_a 5.098
_cell_length_b 5.098
_cell_length_c 5.098
_cell_angle_alpha 60.00
_cell_angle_beta 60.00
_cell_angle_gamma 60.00
loop_
_atom_site_label
_atom_site_fract_x
_atom_site_fract_y
_atom_site_fract_z
_atom_site_occupancy
Gd1 0.250 0.250 0.250 1
Mg1 0.000 0.000 0.000 1
Pu1 0.750 0.750 0.750 1
```

## Properties
calculated volume	93.7	Å³/f.u.
VASP energy	-0.228	Ha/atom
SG	F-43m

---

- Which of these has the highest VASP energy?
  SrGdMg4Pt2